1.
Compound: AcPmHoEr
Source: Alexandria via LeMat-Bulk
Functional: PBE
Structure: optimized geometry

Calculated values
Excess energy over the best structure of this formula in the dataset = 0.00 kcal/mol of atoms
Calculated volume = 34.979 A^3/atom
Space group = Cm
DFT formation energy = 66 meV/atom

Cell: 3.6854 3.6854 12.0877 Å, 98.74 98.74 59.96°
Last column: nearest neighbours and their distance in Å.
Fractional coordinates of all 4 atoms:
Ac: 0.0000 0.0000 0.0000  6 Ac 3.68-3.69, 3 Ho 3.73-3.74, 3 Pm 3.84
Pm: 0.2432 0.2432 0.7316  3 Er 3.55, 6 Pm 3.68-3.69, 3 Ac 3.84
Ho: 0.4180 0.4180 0.2580  3 Er 3.51-3.52, 6 Ho 3.68-3.69, 3 Ac 3.73-3.74
Er: 0.8308 0.8308 0.4925  3 Ho 3.51-3.52, 3 Pm 3.55, 6 Er 3.68-3.69

2.
Compound: EuLuMgGa
Source: Alexandria via LeMat-Bulk
Functional: PBE
Structure: optimized geometry

Calculated values
Calculated volume = 25.517 A^3/atom
Space group = F-43m
DFT formation energy = -262 meV/atom

Cell: 5.2456 5.2456 5.2456 Å, 60.00 60.00 60.00°
Last column: nearest neighbours and their distance in Å.
Fractional coordinates of all 4 atoms:
Eu: 0.0000 0.0000 0.0000  4 Mg 3.21, 4 Ga 3.21
Lu: 0.5000 0.5000 0.5000  4 Ga 3.21, 4 Mg 3.21
Mg: 0.7500 0.7500 0.7500  4 Lu 3.21, 4 Eu 3.21
Ga: 0.2500 0.2500 0.2500  4 Lu 3.21, 4 Eu 3.21

3.
Compound: KH2PtO4
Source: Alexandria via LeMat-Bulk
Functional: PBE
Structure: optimized geometry

Calculated values
Calculated volume = 15.308 A^3/atom
VASP energy = -39.54 eV for the cell shown
Space group = Immm

Cell: 5.5611 5.5611 5.5611 Å, 126.28 108.39 95.33°
Last column: nearest neighbours and their distance in Å.
Fractional coordinates of all 8 atoms:
K: 0.0000 0.0000 0.0000  4 O 2.72
H: 0.3349 0.8349 0.5000  2 O 1.20
H: 0.6651 0.1651 0.5000  2 O 1.20
Pt: 0.5000 0.5000 0.0000  4 O 1.90
O: 0.3175 0.0551 0.7376  1 H 1.20
O: 0.3175 0.5799 0.2624  1 H 1.20
O: 0.6825 0.4201 0.7376  1 H 1.20
O: 0.6825 0.9449 0.2624  1 H 1.20

4.
Compound: YIn
Source: Alexandria via LeMat-Bulk
Functional: PBE
Structure: optimized geometry

Calculated values
Calculated volume = 27.207 A^3/atom
Space group = Imma
DFT formation energy = -445 meV/atom

Cell: 6.3643 6.3643 6.3643 Å, 144.04 133.45 60.19°
Last column: nearest neighbours and their distance in Å.
Fractional coordinates of all 4 atoms:
Y: 0.3695 0.1195 0.2500  6 In 3.20-3.50, 2 Y 3.48
Y: 0.6305 0.8805 0.7500  6 In 3.20-3.50, 2 Y 3.48
In: 0.1060 0.3560 0.7500  2 In 3.05, 4 Y 3.20
In: 0.8940 0.6440 0.2500  2 In 3.05, 4 Y 3.20

5.
Compound: Cr2AsAu
Source: Alexandria via LeMat-Bulk
Functional: PBE
Structure: optimized geometry

Calculated values
Calculated volume = 16.479 A^3/atom
Space group = F-43m
DFT formation energy = 331 meV/atom

Cell: 4.5342 4.5342 4.5342 Å, 60.00 60.00 60.00°
Last column: nearest neighbours and their distance in Å.
Fractional coordinates of all 4 atoms:
Cr: 0.0000 0.0000 0.0000  4 Cr 2.78, 4 As 2.78
Cr: 0.2500 0.2500 0.2500  4 Au 2.78, 4 Cr 2.78
As: 0.7500 0.7500 0.7500  4 Au 2.78, 4 Cr 2.78
Au: 0.5000 0.5000 0.5000  4 As 2.78, 4 Cr 2.78

6.
Compound: Pr5NdDy12
Source: Alexandria via LeMat-Bulk
Functional: PBE
Structure: optimized geometry

Calculated values
Calculated volume = 33.282 A^3/atom
Space group = C2/m
DFT formation energy = 95 meV/atom

Cell: 10.4231 10.4231 5.9942 Å, 90.01 90.01 113.08°
Last column: nearest neighbours and their distance in Å.
Fractional coordinates of all 18 atoms:
Pr: 0.0000 0.0000 0.0000  8 Dy 3.37-3.71
Pr: 0.1662 0.8338 0.5000  8 Dy 3.37-3.71
Pr: 0.3337 0.6663 0.0000  8 Dy 3.37-3.71
Pr: 0.6663 0.3337 0.0000  8 Dy 3.37-3.71
Pr: 0.8338 0.1662 0.5000  8 Dy 3.37-3.71
Nd: 0.5000 0.5000 0.5000  8 Dy 3.36-3.70
Dy: 0.0121 0.3454 0.9466  4 Pr 3.37-3.71, 6 Dy 3.39-3.74
Dy: 0.1551 0.4883 0.4467  3 Pr 3.37-3.71, 6 Dy 3.39-3.74, 1 Nd 3.56
Dy: 0.1796 0.1796 0.5550  3 Pr 3.37-3.57, 6 Dy 3.39-3.73, 1 Nd 3.70
Dy: 0.3216 0.3216 0.0551  1 Nd 3.36, 6 Dy 3.39-3.73, 3 Pr 3.56-3.71
Dy: 0.3454 0.0121 0.9466  4 Pr 3.37-3.71, 6 Dy 3.39-3.74
Dy: 0.4883 0.1551 0.4467  3 Pr 3.37-3.71, 6 Dy 3.39-3.74, 1 Nd 3.56
Dy: 0.5117 0.8449 0.5533  3 Pr 3.37-3.71, 6 Dy 3.39-3.74, 1 Nd 3.56
Dy: 0.6546 0.9879 0.0534  4 Pr 3.37-3.71, 6 Dy 3.39-3.74
Dy: 0.6784 0.6784 0.9449  1 Nd 3.36, 6 Dy 3.39-3.73, 3 Pr 3.56-3.71
Dy: 0.8204 0.8204 0.4450  3 Pr 3.37-3.57, 6 Dy 3.39-3.73, 1 Nd 3.70
Dy: 0.8449 0.5117 0.5533  3 Pr 3.37-3.71, 6 Dy 3.39-3.74, 1 Nd 3.56
Dy: 0.9879 0.6546 0.0534  4 Pr 3.37-3.71, 6 Dy 3.39-3.74

7.
Compound: Cu2PCl
Source: Alexandria via LeMat-Bulk
Functional: PBE
Structure: optimized geometry

Calculated values
Excess energy over the best structure of this formula in the dataset = 15.92 kcal/mol of atoms
Calculated volume = 15.362 A^3/atom
Formation energy from raw total energies = 595 meV/atom
Space group = Fm-3m

Cell: 4.4293 4.4293 4.4293 Å, 60.00 60.00 60.00°
Last column: nearest neighbours and their distance in Å.
Fractional coordinates of all 4 atoms:
Cu: 0.2500 0.2500 0.2500  4 Cl 2.71, 4 P 2.71
Cu: 0.7500 0.7500 0.7500  4 Cl 2.71, 4 P 2.71
P: 0.0000 0.0000 0.0000  8 Cu 2.71
Cl: 0.5000 0.5000 0.5000  8 Cu 2.71

8.
Compound: Co2HgRh
Source: Alexandria via LeMat-Bulk
Functional: PBE
Structure: optimized geometry

Calculated values
Calculated volume = 14.417 A^3/atom
Space group = P4/mmm
DFT formation energy = 340 meV/atom

Cell: 3.8763 3.8763 3.8378 Å, 90.00 90.00 90.00°
Last column: nearest neighbours and their distance in Å.
Fractional coordinates of all 4 atoms:
Co: 0.0000 0.5000 0.0000  4 Hg 2.73, 4 Rh 2.73, 4 Co 2.74
Co: 0.5000 0.0000 0.0000  4 Hg 2.73, 4 Rh 2.73, 4 Co 2.74
Hg: 0.0000 0.0000 0.5000  8 Co 2.73, 4 Rh 2.74
Rh: 0.5000 0.5000 0.5000  8 Co 2.73, 4 Hg 2.74